[1]
An optimized crystal structure of Ba2PtRh, computed with PBE.

Output
DOS at the Fermi energy ... 0.6490 states/eV per atom
E ... -4.738 eV per atom
Formation energy from the elements ... -1.71 eV/f.u.

a b c (Å): 4.8389 5.9433 5.9433
angles (deg): 48.21 90.00 90.00
With the nearest neighbours (Å) after each atom.
Sites, in units of the cell vectors:
1 Ba 0.0000 0.0000 0.0000  3 Pt 3.19-3.36
2 Ba 0.5000 0.2906 0.2906  3 Rh 3.11-3.48
3 Pt 0.0000 0.6905 0.6905  2 Rh 2.57
4 Rh 0.5000 0.6114 0.6114  2 Pt 2.57

***

[2]
An optimized crystal structure of BeIn2Br, computed with PBE.

Output
Formation energy without anion corrections ... 10.9 kJ/mol of atoms
Energy above the most stable polymorph in this dataset ... 2.573 kcal/mol of atoms
DOS at the Fermi energy ... 0.3263 states/eV per atom
E ... -2.606 eV per atom

a b c (Å): 6.0634 6.0634 6.0634
angles (deg): 148.49 121.11 68.33
With the nearest neighbours (Å) after each atom.
Sites, in units of the cell vectors:
1 Be 0.0000 0.0000 0.0000  2 Br 2.25
2 In 0.2122 0.7122 0.5000  2 Be 2.69
3 In 0.5140 0.5140 0.0000  6 In 3.29-3.58, 4 Be 3.41, 2 Br 3.42
4 Br 0.8471 0.3471 0.5000  2 Be 2.25

***

[3]
An optimized crystal structure of AlV, computed with PBE.

Output
DOS at the Fermi energy ... 0.4669 states/eV per atom
E ... -6.619 eV per atom
Formation energy from the elements ... -0.38 eV/f.u.

a b c (Å): 4.7638 5.3821 9.0035
angles (deg): 90.00 90.00 90.00
With the nearest neighbours (Å) after each atom.
Sites, in units of the cell vectors:
1 Al 0.0140 0.1160 0.2622  6 V 2.58-2.72, 4 Al 2.70-2.75
2 Al 0.1874 0.3775 0.9891  7 V 2.66-2.77, 5 Al 2.75-2.95
3 Al 0.3126 0.6225 0.4891  7 V 2.66-2.77, 5 Al 2.75-2.95
4 Al 0.4860 0.8840 0.7622  6 V 2.58-2.72, 4 Al 2.70-2.75
5 Al 0.5140 0.3840 0.7378  6 V 2.58-2.72, 4 Al 2.70-2.75
6 Al 0.6874 0.1225 0.0109  7 V 2.66-2.77, 5 Al 2.75-2.95
7 Al 0.8126 0.8775 0.5109  7 V 2.66-2.77, 5 Al 2.75-2.95
8 Al 0.9860 0.6160 0.2378  6 V 2.58-2.72, 4 Al 2.70-2.75
9 V 0.0131 0.6220 0.7410  4 V 2.62-2.90, 7 Al 2.66-2.89
10 V 0.1937 0.8700 0.0216  7 Al 2.58-2.77, 3 V 2.62-2.74
11 V 0.3063 0.1300 0.5216  7 Al 2.58-2.77, 3 V 2.62-2.74
12 V 0.4869 0.3780 0.2410  4 V 2.62-2.90, 7 Al 2.66-2.89
13 V 0.5131 0.8780 0.2590  4 V 2.62-2.90, 7 Al 2.66-2.89
14 V 0.6937 0.6300 0.9784  7 Al 2.58-2.77, 3 V 2.62-2.74
15 V 0.8063 0.3700 0.4784  7 Al 2.58-2.77, 3 V 2.62-2.74
16 V 0.9869 0.1220 0.7590  4 V 2.62-2.90, 7 Al 2.66-2.89

***

[4]
An optimized crystal structure of Ca2MoIr, computed with PBE.

Output
Energy above the most stable polymorph in this dataset ... 11.116 kcal/mol of atoms
DOS at the Fermi energy ... 0.8054 states/eV per atom
E ... -5.427 eV per atom
Formation energy from the elements ... 1.99 eV/f.u.

a b c (Å): 3.0451 4.7627 5.6004
angles (deg): 90.00 99.30 90.00
With the nearest neighbours (Å) after each atom.
Sites, in units of the cell vectors:
1 Ca 0.0433 0.0000 0.2574  4 Ca 2.77-3.05, 2 Ir 2.97
2 Ca 0.9567 0.0000 0.7426  4 Ca 2.77-3.05, 2 Ir 2.97
3 Mo 0.5000 0.5000 0.0000  2 Ir 2.80, 2 Mo 3.05, 4 Ca 3.12
4 Ir 0.5000 0.5000 0.5000  2 Mo 2.80, 4 Ca 2.97, 2 Ir 3.05